A plane-wave DFT calculation with PBE-GGA was carried out for crystalline NaSc4Pt5 at its relaxed geometry.

Calculated values
**Electronic total energy**: -6.76 eV/atom
**Formation energy**: -1071 meV/atom
**Symmetry**: P4/mmm
**V**: 18.41 Å³/atom

Cell: 3.2774 3.2774 17.1438 Å, 90.00 90.00 90.00°
Closest atoms and distances in Å follow each position.
Fractional coordinates of all 10 atoms:
Na  0.0000  0.0000  0.0000  8 Pt 3.12, 4 Na 3.28, 2 Sc 3.49
Sc  0.0000  0.0000  0.2034  8 Pt 2.71-2.93
Sc  0.0000  0.0000  0.4014  8 Pt 2.81-2.87
Sc  0.0000  0.0000  0.5986  8 Pt 2.81-2.87
Sc  0.0000  0.0000  0.7966  8 Pt 2.71-2.93
Pt  0.5000  0.5000  0.1216  4 Sc 2.71
Pt  0.5000  0.5000  0.3083  8 Sc 2.81-2.93
Pt  0.5000  0.5000  0.5000  8 Sc 2.87
Pt  0.5000  0.5000  0.6917  8 Sc 2.81-2.93
Pt  0.5000  0.5000  0.8784  4 Sc 2.71